Record 1
Compound: Cu15As
Source: OQMD
Functional: PBE-GGA
Structure: optimized geometry

Computed properties:
The calculation puts the theoretical density at 5.489 Mg/m³. For the excess energy over the best structure of this formula in the dataset, the calculation gives 19 meV per atom. As for the electronic total energy: -3.7244 eV per atom.

Cell lengths 5.051, 3.607, 34.137 Å; angles 90.00, 90.15, 90.00 degrees
Space group P2_1/m (No. 11)
Unique sites:
Cu1 0.123 0.250 0.168
Cu2 0.124 0.250 0.244
Cu3 0.125 0.250 0.018
Cu4 0.125 0.250 0.093
Cu5 0.125 0.250 0.720
Cu6 0.125 0.250 0.795
Cu7 0.125 0.250 0.869
Cu8 0.125 0.250 0.944
Cu9 0.373 0.750 0.832
Cu10 0.375 0.750 0.056
Cu11 0.375 0.750 0.131
Cu12 0.375 0.750 0.205
Cu13 0.375 0.750 0.756
Cu14 0.375 0.750 0.907
Cu15 0.375 0.750 0.981
As1 0.375 0.750 0.281

---

Record 2
Compound: LiLuAlCo
Source: OQMD
Functional: PBE-GGA
Structure: optimized geometry

Computed properties:
The calculation puts the theoretical density at 7.208 Mg/m³. For the excess energy over the best structure of this formula in the dataset, the calculation gives 0 meV per atom. The value obtained for the total magnetization is 0.04 Bohr magnetons per cell. As for the electronic total energy: -4.5762 eV per atom.

Cell lengths 6.272, 6.272, 6.272 Å; angles 90.00, 90.00, 90.00 degrees
Space group F-43m (No. 216)
Unique sites:
Li1 0.000 0.000 0.000
Lu1 0.250 0.250 0.750
Al1 0.250 0.250 0.250
Co1 0.000 0.000 0.500

---

Record 3
Compound: NaGdFeSe3
Source: OQMD
Functional: PBE-GGA
Structure: optimized geometry

Computed properties:
The calculation puts the theoretical density at 5.628 Mg/m³. For the excess energy over the best structure of this formula in the dataset, the calculation gives 81 meV per atom. The value obtained for the total magnetization is 16.01 Bohr magnetons per cell. As for the electronic total energy: -5.1848 eV per atom.

Cell lengths 8.231, 4.189, 16.187 Å; angles 90.00, 90.00, 90.00 degrees
Space group Pnma (No. 62)
Unique sites:
Na1 0.074 0.250 0.215
Gd1 0.248 0.750 0.454
Fe1 0.125 0.250 0.639
Se1 0.005 0.250 0.408
Se2 0.123 0.750 0.060
Se3 0.192 0.250 0.781

---

Record 4
Compound: CsSmGeS4
Source: OQMD
Functional: PBE-GGA
Structure: optimized geometry

Computed properties:
The calculation puts the theoretical density at 3.998 Mg/m³. The value obtained for the total magnetization is 0.00 Bohr magnetons per cell. As for the electronic total energy: -5.0994 eV per atom.

Cell lengths 6.570, 6.810, 17.977 Å; angles 90.00, 90.00, 90.00 degrees
Space group P2_12_12_1 (No. 19)
Unique sites:
Cs1 0.002 0.007 0.032
Sm1 0.208 0.019 0.773
Ge1 0.208 0.516 0.166
S1 0.060 0.012 0.408
S2 0.062 0.246 0.646
S3 0.098 0.754 0.654
S4 0.104 0.576 0.281

---

Record 5
Compound: Li2Zn2In2IrPt
Source: OQMD
Functional: PBE-GGA
Structure: optimized geometry

Computed properties:
The calculation puts the theoretical density at 9.990 Mg/m³. The value obtained for the total magnetization is 0.00 Bohr magnetons per cell. As for the electronic total energy: -3.7643 eV per atom.

Cell lengths 4.472, 4.472, 6.330 Å; angles 90.00, 90.00, 90.00 degrees
Space group P-4m2 (No. 115)
Unique sites:
Li1 0.000 0.000 0.000
Li2 0.500 0.500 0.500
Zn1 0.000 0.500 0.247
In1 0.000 0.500 0.755
Ir1 0.500 0.500 0.000
Pt1 0.000 0.000 0.500

---

Record 6
Compound: TmCo
Source: OQMD
Functional: PBE-GGA
Structure: optimized geometry

Computed properties:
The calculation puts the theoretical density at 7.734 Mg/m³. The value obtained for the total magnetization is 0.02 Bohr magnetons per cell. As for the electronic total energy: -4.8430 eV per atom. As for the energy relative to the elements: 0.95 eV per atom.

Cell lengths 5.806, 5.806, 5.806 Å; angles 90.00, 90.00, 90.00 degrees
Space group F-43m (No. 216)
Unique sites:
Tm1 0.000 0.000 0.000
Co1 0.250 0.250 0.250

---

Record 7
Compound: Sm3Zn2Ag
Source: OQMD
Functional: PBE-GGA
Structure: optimized geometry

Computed properties:
The calculation puts the theoretical density at 7.799 Mg/m³. The value obtained for the total magnetization is 0.31 Bohr magnetons per cell. As for the electronic total energy: -3.5751 eV per atom. As for the energy relative to the elements: -0.33 eV per atom.

Cell lengths 3.667, 3.667, 10.920 Å; angles 90.00, 90.00, 90.00 degrees
Space group P4/mmm (No. 123)
Unique sites:
Sm1 0.000 0.000 0.000
Sm2 0.000 0.000 0.325
Zn1 0.500 0.500 0.161
Ag1 0.500 0.500 0.500

---

Record 8
Compound: HfBi2Au
Source: OQMD
Functional: PBE-GGA
Structure: optimized geometry

Computed properties:
The calculation puts the theoretical density at 13.337 Mg/m³. The value obtained for the total magnetization is 0.01 Bohr magnetons per cell. As for the electronic total energy: -5.1301 eV per atom.

Cell lengths 7.338, 7.338, 7.338 Å; angles 90.00, 90.00, 90.00 degrees
Space group F-43m (No. 216)
Unique sites:
Hf1 0.000 0.000 0.000
Bi1 0.000 0.000 0.500
Bi2 0.250 0.250 0.250
Au1 0.250 0.250 0.750